Computed, not measured: a geometry-optimized Mg2CdAu3 structure at the PBE level of DFT.

The structure in CIF format:
```
data_Mg2CdAu3
_chemical_formula_sum 'Mg2 Cd1 Au3'
_space_group_name_H-M_alt 'P 4/m m m'
_space_group_IT_number 123
_space_group_name_Hall '-P 4 2'
_cell_length_a 3.350
_cell_length_b 3.350
_cell_length_c 9.879
_cell_angle_alpha 90.00
_cell_angle_beta 90.00
_cell_angle_gamma 90.00
loop_
_atom_site_label
_atom_site_type_symbol
_atom_site_fract_x
_atom_site_fract_y
_atom_site_fract_z
Mg1 Mg 0.000 0.000 0.164
Cd1 Cd 0.000 0.000 0.500
Au1 Au 0.500 0.500 0.000
Au2 Au 0.500 0.500 0.317
```

Calculated values
uncorrected energy = -16.706 eV/cell

***

Computed, not measured: a geometry-optimized PrGdPI2 structure at the PBE level of DFT.

The structure in CIF format:
```
data_PrGdPI2
_chemical_formula_sum 'Pr1 Gd1 P1 I2'
_space_group_name_H-M_alt 'P 3 m 1'
_space_group_IT_number 156
_space_group_name_Hall 'P 3 -2"'
_cell_length_a 4.2035
_cell_length_b 4.2035
_cell_length_c 11.0849
_cell_angle_alpha 90.00
_cell_angle_beta 90.00
_cell_angle_gamma 120.00
loop_
_atom_site_label
_atom_site_type_symbol
_atom_site_fract_x
_atom_site_fract_y
_atom_site_fract_z
Pr1 Pr 0.0000 0.0000 0.0000
Gd1 Gd 0.6667 0.3333 0.7209
P1 P 0.3333 0.6667 0.8531
I1 I 0.0000 0.0000 0.5366
I2 I 0.6667 0.3333 0.1942
```

Calculated values
uncorrected energy = -25.600 eV/cell

***

Computed, not measured: a geometry-optimized Ho3Er3CuTe2 structure at the PBE level of DFT.

The structure in CIF format:
```
data_Ho3Er3CuTe2
_chemical_formula_sum 'Ho3 Er3 Cu1 Te2'
_space_group_name_H-M_alt 'P -6 2 m'
_space_group_IT_number 189
_space_group_name_Hall 'P -6 -2'
_cell_length_a 8.3705
_cell_length_b 8.3705
_cell_length_c 3.9070
_cell_angle_alpha 90.00
_cell_angle_beta 90.00
_cell_angle_gamma 120.00
loop_
_atom_site_label
_atom_site_type_symbol
_atom_site_fract_x
_atom_site_fract_y
_atom_site_fract_z
Ho1 Ho 0.0000 0.2434 0.0000
Er1 Er 0.0000 0.5978 0.5000
Cu1 Cu 0.0000 0.0000 0.5000
Te1 Te 0.3333 0.6667 0.0000
```

Calculated values
uncorrected energy = -43.022 eV/cell